Computed, not measured: crystalline Cs2KInS at its relaxed geometry at the PBE-GGA level of DFT.

The calculated volume comes out at 312.45 Å³/cell. As for the space group: No. 123. As for the total magnetization: 0.00 μB/cell. The calculation puts the total energy at -2.033 eV per atom.

Cell: 7.636 5.359 7.636 Å, 90.00 90.00 90.00°
Fractional positions:
Cs (0.000, 0.000, 0.500)
Cs (0.500, 0.000, 0.000)
K (0.500, 0.500, 0.500)
S (0.000, 0.500, 0.000)
In (0.000, 0.000, 0.000)

=====

Computed, not measured: crystalline Ta2CoTc at its relaxed geometry at the PBE-GGA level of DFT.

The calculated volume comes out at 61.55 Å³/cell. The value obtained for the formation enthalpy at 0 K is 0.015 eV per atom. Its energy relative to the lowest polymorph listed for this composition is 293 meV per atom. As for the space group: No. 35. As for the total magnetization: 0.07 μB/cell.

Cell: 2.747 2.747 8.291 Å, 90.00 90.00 100.43°
Each line ends with the local moment (μB).
Fractional positions:
Co (0.500, 0.500, 0.734)  0.08
Ta (0.000, 0.000, 0.973)  0.00
Ta (0.500, 0.500, 0.260)  0.00
Tc (0.000, 0.000, 0.533)  -0.01

=====

Computed, not measured: crystalline Sc2Zn2Au at its relaxed geometry at the PBE-GGA level of DFT.

The calculated volume comes out at 206.97 Å³/cell. The value obtained for the formation enthalpy at 0 K is -0.121 eV per atom. Its energy relative to the lowest polymorph listed for this composition is 387 meV per atom. As for the space group: No. 127. As for the total magnetization: 0.00 μB/cell.

Cell: 7.447 7.447 3.732 Å, 90.00 90.00 90.00°
Fractional positions:
Sc (0.342, 0.842, 0.000)
Sc (0.842, 0.658, 0.000)
Sc (0.658, 0.158, 0.000)
Sc (0.158, 0.342, 0.000)
Zn (0.137, 0.637, 0.500)
Zn (0.637, 0.863, 0.500)
Zn (0.863, 0.363, 0.500)
Zn (0.363, 0.137, 0.500)
Au (0.000, 0.000, 0.000)
Au (0.500, 0.500, 0.000)